{
  "formula": "AlCrW2",
  "functional": "PBE-GGA",
  "state": "relaxed",
  "lattice_angstrom": [[3.128, 0.000, 0.000], [0.000, 4.359, 0.000], [0.000, 0.000, 8.673]],
  "species": ["Al", "Al", "Cr", "Cr", "W", "W", "W", "W"],
  "fractional_positions": [[0.000, 0.000, 0.000], [0.500, 0.500, 0.500], [0.000, 0.000, 0.500], [0.500, 0.500, 0.000], [0.000, 0.500, 0.238], [0.000, 0.500, 0.762], [0.500, 0.000, 0.262], [0.500, 0.000, 0.738]],
  "spacegroup": "Immm, No. 71",
  "ef_ev_per_atom": -0.0134,
  "dos_at_fermi_per_ev_cell": 6.00
}

---

{
  "formula": "Al2CrW",
  "functional": "PBE-GGA",
  "state": "relaxed",
  "lattice_angstrom": [[2.693, 0.000, 0.000], [0.000, 4.356, 0.000], [-0.607, 0.000, 4.896]],
  "species": ["Al", "Al", "Cr", "W"],
  "fractional_positions": [[0.000, 0.000, 0.000], [0.123, 0.500, 0.721], [0.667, 0.500, 0.227], [0.503, 0.000, 0.486]],
  "spacegroup": "Pm, No. 6",
  "ef_ev_per_atom": -0.0168,
  "dos_at_fermi_per_ev_cell": 2.34
}

---

{
  "formula": "AlCrW4",
  "functional": "PBE-GGA",
  "state": "relaxed",
  "lattice_angstrom": [[0.000, 3.700, 3.700], [3.700, 0.000, 3.700], [3.700, 3.700, 0.000]],
  "species": ["Al", "Cr", "W", "W", "W", "W"],
  "fractional_positions": [[0.000, 0.000, 0.000], [0.750, 0.750, 0.750], [0.374, 0.374, 0.374], [0.374, 0.374, 0.877], [0.374, 0.877, 0.374], [0.877, 0.374, 0.374]],
  "spacegroup": "F-43m, No. 216",
  "ef_ev_per_atom": 0.5227,
  "dos_at_fermi_per_ev_cell": 5.83
}